# 1
Here is an optimized crystal structure of Ca2TcNiRu from Alexandria via LeMat-Bulk. Energies are from GGA-PBE.

a = 5.3772 Å, b = 5.3772 Å, c = 4.5691 Å
α = 90.00°, β = 90.00°, γ = 90.00°
Closest atoms and distances in Å follow each position.
Atoms (fractional coordinates):
Ca 0.0000 0.5000 0.0000  2 Ru 2.69
Ca 0.5000 0.0000 0.0000  2 Ru 2.69
Tc 0.0000 0.0000 0.5000  2 Ru 2.28
Ni 0.5000 0.5000 0.5000  8 Ca 3.53, 4 Tc 3.80
Ru 0.0000 0.0000 0.0000  2 Tc 2.28

electronic total energy	-4.92	eV per atom
energy of formation	93.1	kJ/mol of atoms
symmetry	No. 123

***

# 2
Here is an optimized crystal structure of Ca2TlNiRu from Alexandria via LeMat-Bulk. Energies are from GGA-PBE.

a = 5.7821 Å, b = 5.7821 Å, c = 4.6904 Å
α = 90.00°, β = 90.00°, γ = 90.00°
Closest atoms and distances in Å follow each position.
Atoms (fractional coordinates):
Ca 0.0000 0.5000 0.0000  2 Tl 2.89
Ca 0.5000 0.0000 0.0000  2 Tl 2.89
Tl 0.0000 0.0000 0.0000  2 Ni 2.35
Ni 0.0000 0.0000 0.5000  2 Tl 2.35
Ru 0.5000 0.5000 0.5000  8 Ca 3.72, 4 Ni 4.09

electronic total energy	-3.21	eV per atom
energy of formation	103.6	kJ/mol of atoms
symmetry	No. 123

***

# 3
Here is an optimized crystal structure of CaNiS2 from Alexandria via LeMat-Bulk. Energies are from GGA-PBE.

a = 7.3593 Å, b = 7.3593 Å, c = 7.3593 Å
α = 34.14°, β = 34.14°, γ = 34.14°
Closest atoms and distances in Å follow each position.
Atoms (fractional coordinates):
Ca 0.0000 0.0000 0.0000  6 S 2.85
Ni 0.5000 0.5000 0.5000  2 S 2.08
S 0.4000 0.4000 0.4000  1 Ni 2.08
S 0.6000 0.6000 0.6000  1 Ni 2.08

electronic total energy	-4.75	eV per atom
uncorrected formation energy	-0.740	eV per atom
symmetry	No. 166

***

# 4
Here is an optimized crystal structure of CaNiS from Alexandria via LeMat-Bulk. Energies are from GGA-PBE.

a = 7.2539 Å, b = 7.2539 Å, c = 7.2539 Å
α = 148.68°, β = 148.68°, γ = 44.89°
Closest atoms and distances in Å follow each position.
Atoms (fractional coordinates):
Ca 0.0000 0.0000 0.0000  6 Ni 2.96-2.99, 6 S 2.96-2.99
Ca 0.7500 0.2500 0.5000  6 Ni 2.96-2.99, 6 S 2.96-2.99
Ni 0.1654 0.6654 0.5000  3 S 2.24-2.27
Ni 0.4154 0.4154 0.0000  3 S 2.24-2.27
S 0.3346 0.8346 0.5000  3 Ni 2.24-2.27
S 0.5846 0.5846 0.0000  3 Ni 2.24-2.27

electronic total energy	-5.05	eV per atom
uncorrected formation energy	-1.079	eV per atom
symmetry	No. 109

***

# 5
Here is an optimized crystal structure of CaNi4S8 from Alexandria via LeMat-Bulk. Energies are from GGA-PBE.

a = 7.6486 Å, b = 7.6486 Å, c = 7.6486 Å
α = 52.53°, β = 52.53°, γ = 52.53°
Closest atoms and distances in Å follow each position.
Atoms (fractional coordinates):
Ca 0.0000 0.0000 0.0000  6 S 2.84
Ni 0.0000 0.0000 0.5000  6 S 2.28
Ni 0.0000 0.5000 0.0000  6 S 2.28
Ni 0.5000 0.0000 0.0000  6 S 2.28
Ni 0.5000 0.5000 0.5000  6 S 2.32
S 0.2222 0.7298 0.7298  3 Ni 2.28-2.32
S 0.2263 0.2263 0.2263  3 Ni 2.28
S 0.2702 0.2702 0.7778  3 Ni 2.28-2.32
S 0.2702 0.7778 0.2702  3 Ni 2.28-2.32
S 0.7298 0.2222 0.7298  3 Ni 2.28-2.32
S 0.7298 0.7298 0.2222  3 Ni 2.28-2.32
S 0.7737 0.7737 0.7737  3 Ni 2.28
S 0.7778 0.2702 0.2702  3 Ni 2.28-2.32

electronic total energy	-4.93	eV per atom
uncorrected formation energy	-0.459	eV per atom
relative energy among the computed polymorphs	0	meV/atom
symmetry	No. 166

***

# 6
Here is an optimized crystal structure of CaNiS2 from Alexandria via LeMat-Bulk. Energies are from GGA-PBE.

a = 4.6211 Å, b = 4.6211 Å, c = 4.6211 Å
α = 60.00°, β = 60.00°, γ = 60.00°
Closest atoms and distances in Å follow each position.
Atoms (fractional coordinates):
Ca 0.0000 0.0000 0.0000  8 S 2.83
Ni 0.5000 0.5000 0.5000  8 S 2.83
S 0.2500 0.2500 0.2500  4 Ca 2.83, 4 Ni 2.83
S 0.7500 0.7500 0.7500  4 Ni 2.83, 4 Ca 2.83

electronic total energy	-4.55	eV per atom
uncorrected formation energy	-0.545	eV per atom
symmetry	No. 225

***

# 7
Here is an optimized crystal structure of CaNiS from Alexandria via LeMat-Bulk. Energies are from GGA-PBE.

a = 4.7105 Å, b = 4.7105 Å, c = 8.2557 Å
α = 90.00°, β = 90.00°, γ = 120.00°
Closest atoms and distances in Å follow each position.
Atoms (fractional coordinates):
Ca 0.3333 0.6667 0.2500  3 S 2.72
Ca 0.6667 0.3333 0.7500  3 S 2.72
Ni 0.0000 0.0000 0.0000  2 S 2.06
Ni 0.0000 0.0000 0.5000  2 S 2.06
S 0.0000 0.0000 0.2500  2 Ni 2.06
S 0.0000 0.0000 0.7500  2 Ni 2.06

electronic total energy	-4.77	eV per atom
uncorrected formation energy	-0.798	eV per atom
symmetry	No. 194

***

# 8
Here is an optimized crystal structure of CaNiS from Alexandria via LeMat-Bulk. Energies are from GGA-PBE.

a = 5.3499 Å, b = 5.3499 Å, c = 6.0212 Å
α = 102.31°, β = 102.31°, γ = 41.16°
Closest atoms and distances in Å follow each position.
Atoms (fractional coordinates):
Ca 0.0000 0.0000 0.0000  3 Ni 2.84-2.94, 5 S 2.86-3.09
Ca 0.6580 0.6580 0.5483  5 S 2.87-2.92, 4 Ni 3.07-3.12
Ni 0.3328 0.3328 0.3138  3 S 2.25-2.39, 2 Ni 2.43
Ni 0.7317 0.7317 0.0807  2 S 2.22, 2 Ni 2.43
S 0.2670 0.2670 0.9065  3 Ni 2.22-2.39
S 0.9360 0.9360 0.4733  2 Ni 2.25

electronic total energy	-4.96	eV per atom
uncorrected formation energy	-0.993	eV per atom
symmetry	No. 8

***

# 9
Here is an optimized crystal structure of CaNiS from Alexandria via LeMat-Bulk. Energies are from GGA-PBE.

a = 5.5435 Å, b = 5.5435 Å, c = 5.6235 Å
α = 92.40°, β = 92.40°, γ = 42.41°
Closest atoms and distances in Å follow each position.
Atoms (fractional coordinates):
Ca 0.1391 0.1391 0.2524  5 S 2.81-3.02, 3 Ni 2.93-3.04
Ca 0.8609 0.8609 0.7476  5 S 2.81-3.02, 3 Ni 2.93-3.04
Ni 0.4220 0.4220 0.3131  2 S 2.14
Ni 0.5780 0.5780 0.6869  2 S 2.14
S 0.1427 0.1427 0.7536  2 Ni 2.14
S 0.8573 0.8573 0.2464  2 Ni 2.14

electronic total energy	-4.99	eV per atom
uncorrected formation energy	-1.019	eV per atom
symmetry	No. 12

***

# 10
Here is an optimized crystal structure of CaNiS from Alexandria via LeMat-Bulk. Energies are from GGA-PBE.

a = 3.8720 Å, b = 3.8720 Å, c = 7.9274 Å
α = 90.00°, β = 90.00°, γ = 120.00°
Closest atoms and distances in Å follow each position.
Atoms (fractional coordinates):
Ca 0.0000 0.0000 0.0000  6 S 2.99, 6 Ni 2.99
Ca 0.0000 0.0000 0.5000  6 S 2.99, 6 Ni 2.99
Ni 0.3333 0.6667 0.2500  3 S 2.24
Ni 0.6667 0.3333 0.7500  3 S 2.24
S 0.3333 0.6667 0.7500  3 Ni 2.24
S 0.6667 0.3333 0.2500  3 Ni 2.24

electronic total energy	-5.03	eV per atom
uncorrected formation energy	-1.064	eV per atom
symmetry	No. 194

***

# 11
Here is an optimized crystal structure of Ca3NiS from Alexandria via LeMat-Bulk. Energies are from GGA-PBE.

a = 5.2982 Å, b = 5.2982 Å, c = 5.2982 Å
α = 90.00°, β = 90.00°, γ = 90.00°
Closest atoms and distances in Å follow each position.
Atoms (fractional coordinates):
Ca 0.0000 0.0000 0.5000  2 S 2.65
Ca 0.0000 0.5000 0.0000  2 S 2.65
Ca 0.5000 0.0000 0.0000  2 S 2.65
Ni 0.5000 0.5000 0.5000  12 Ca 3.75
S 0.0000 0.0000 0.0000  6 Ca 2.65

electronic total energy	-3.61	eV per atom
uncorrected formation energy	-0.426	eV per atom
relative energy among the computed polymorphs	0	meV/atom
symmetry	No. 221

***

# 12
Here is an optimized crystal structure of CaNiS from Alexandria via LeMat-Bulk. Energies are from GGA-PBE.

a = 5.4691 Å, b = 4.6249 Å, c = 4.6249 Å
α = 105.13°, β = 90.00°, γ = 90.00°
Closest atoms and distances in Å follow each position.
Atoms (fractional coordinates):
Ca 0.2500 0.1571 0.8429  5 S 2.86-3.15, 2 Ni 2.87
Ca 0.7500 0.8429 0.1571  5 S 2.86-3.15, 2 Ni 2.87
Ni 0.0000 0.5010 0.5010  2 S 2.16
Ni 0.5000 0.5010 0.5010  2 S 2.16
S 0.2500 0.7277 0.2725  2 Ni 2.16
S 0.7500 0.2725 0.7277  2 Ni 2.16

electronic total energy	-4.96	eV per atom
uncorrected formation energy	-0.991	eV per atom
symmetry	No. 40